Compound: LiH2Ir
Source: the Alexandria database
Functional: GGA-PBE
Structure: relaxed

Cell: 3.4970 3.4970 3.4970 Å, 60.00 60.00 60.00°
Positions (direct):
1 H 0.2500 0.2500 0.2500
2 H 0.7500 0.7500 0.7500
3 Ir 0.5000 0.5000 0.5000
4 Li 0.0000 0.0000 0.0000

Computed properties:
E above lowest polymorph	43.8	kJ per mole of atoms


Compound: Ca3LaN
Source: the Alexandria database
Functional: GGA-PBE
Structure: relaxed

Cell: 6.5563 6.5563 6.5563 Å, 90.00 90.00 90.00°
Positions (direct):
1 Ca 0.0000 0.5000 0.0000
2 Ca 0.0000 0.0000 0.5000
3 Ca 0.5000 0.0000 0.0000
4 N 0.5000 0.5000 0.5000
5 La 0.0000 0.0000 0.0000

Computed properties:
E above lowest polymorph	189.0	kJ per mole of atoms
raw formation energy	1852	meV/atom


Compound: HfPd2WS
Source: the Alexandria database
Functional: GGA-PBE
Structure: relaxed

Cell: 4.7614 5.1452 4.7614 Å, 90.00 90.00 90.00°
Positions (direct):
1 S 0.5000 0.5000 0.5000
2 Hf 0.0000 0.5000 0.0000
3 Pd 0.0000 0.0000 0.5000
4 Pd 0.5000 0.0000 0.0000
5 W 0.0000 0.0000 0.0000

Computed properties:
raw formation energy	1216	meV/atom


Compound: Ta2CuAs2
Source: the Alexandria database
Functional: GGA-PBE
Structure: relaxed

Cell: 3.6268 3.6268 7.1638 Å, 75.34 75.34 90.00°
Positions (direct):
1 As 0.7500 0.2500 0.5000
2 As 0.2500 0.7500 0.5000
3 Cu 0.0000 0.0000 0.0000
4 Ta 0.3982 0.3982 0.2035
5 Ta 0.6018 0.6018 0.7965

Computed properties:
formation energy	25.36	kJ/mol of atoms


Compound: HoEr2Sc5
Source: the Alexandria database
Functional: GGA-PBE
Structure: relaxed

Cell: 6.6904 6.6904 6.6904 Å, 90.98 119.44 119.44°
Positions (direct):
1 Ho 0.0000 0.7785 0.7785
2 Er 0.5000 0.2777 0.7777
3 Er 0.5000 0.7777 0.2777
4 Sc 0.4992 0.7773 0.7773
5 Sc 0.0000 0.7773 0.2782
6 Sc 0.0000 0.2782 0.7773
7 Sc 0.5008 0.2782 0.2782
8 Sc 0.0000 0.2771 0.2771

Computed properties:
formation energy	5.59	kJ/mol of atoms
E above lowest polymorph	3.8	kJ per mole of atoms


Compound: SrCa2CdAg4
Source: the Alexandria database
Functional: GGA-PBE
Structure: relaxed

Cell: 5.1623 5.1623 9.3316 Å, 73.94 73.94 60.00°
Positions (direct):
1 Sr 0.0000 0.0000 0.0000
2 Ca 0.7598 0.7598 0.7207
3 Ca 0.2402 0.2402 0.2793
4 Cd 0.5000 0.5000 0.5000
5 Ag 0.3895 0.3895 0.8316
6 Ag 0.8755 0.8755 0.3736
7 Ag 0.1245 0.1245 0.6264
8 Ag 0.6105 0.6105 0.1684

Computed properties:
formation energy	-23.17	kJ/mol of atoms


Compound: PrSm3O6
Source: the Alexandria database
Functional: GGA-PBE
Structure: relaxed

Cell: 6.9865 6.9865 6.9865 Å, 91.35 91.35 91.35°
Positions (direct):
1 Pr 0.0000 0.0000 0.0000
2 Pr 0.5000 0.5000 0.5000
3 Sm 0.4472 0.9393 0.7486
4 Sm 0.9393 0.7486 0.4472
5 Sm 0.2514 0.5528 0.0607
6 Sm 0.7486 0.4472 0.9393
7 Sm 0.0607 0.2514 0.5528
8 Sm 0.5528 0.0607 0.2514
9 O 0.3199 0.8995 0.0707
10 O 0.1005 0.9293 0.6801
11 O 0.6062 0.8226 0.4748
12 O 0.9293 0.6801 0.1005
13 O 0.4748 0.6062 0.8226
14 O 0.1774 0.5252 0.3938
15 O 0.8226 0.4748 0.6062
16 O 0.5252 0.3938 0.1774
17 O 0.0707 0.3199 0.8995
18 O 0.3938 0.1774 0.5252
19 O 0.8995 0.0707 0.3199
20 O 0.6801 0.1005 0.9293

Computed properties:
raw formation energy	-3366	meV/atom


Compound: Pm2PdPt5Rh2
Source: the Alexandria database
Functional: GGA-PBE
Structure: relaxed

Cell: 4.1451 9.3688 9.3688 Å, 90.00 90.00 90.00°
Positions (direct):
1 Pm 0.0000 0.6739 0.1739
2 Pm 0.0000 0.3261 0.8261
3 Pm 0.0000 0.1739 0.3261
4 Pm 0.0000 0.8261 0.6739
5 Pd 0.0000 0.0000 0.0000
6 Pd 0.0000 0.5000 0.5000
7 Pt 0.5000 0.2019 0.0610
8 Pt 0.5000 0.7981 0.9390
9 Pt 0.5000 0.0610 0.7981
10 Pt 0.5000 0.7019 0.4390
11 Pt 0.5000 0.9390 0.2019
12 Pt 0.5000 0.2981 0.5610
13 Pt 0.5000 0.5610 0.7019
14 Pt 0.5000 0.4390 0.2981
15 Pt 0.5000 0.5000 0.0000
16 Pt 0.5000 0.0000 0.5000
17 Rh 0.0000 0.1256 0.6256
18 Rh 0.0000 0.8744 0.3744
19 Rh 0.0000 0.6256 0.8744
20 Rh 0.0000 0.3744 0.1256

Computed properties:
formation energy	-60.87	kJ/mol of atoms